The following is a DFT calculation (PBE) of EuPb2Au after structural relaxation.

a = 4.758 Å, b = 4.758 Å, c = 4.754 Å
α = 90.00°, β = 90.00°, γ = 90.00°
Space group P4/mmm (No. 123)
One atom of each set of equivalent atoms:
1 Eu 0.000 0.000 0.000
2 Pb 0.000 0.500 0.500
3 Au 0.500 0.500 0.000

Values from the calculation:
Its formation energy is -37 kJ per mole of atoms. The value obtained for the spin magnetization is 7.17 Bohr magnetons per cell. Its excess energy over the best structure of this formula in the dataset is 0.000 eV/atom.